Computed, not measured: a relaxed structure of TbPr3Y5 at the PBE level of DFT.

Cell lengths 7.1498, 9.8835, 9.8835 Å; angles 120.00, 90.00, 90.00 degrees
Last column: nearest neighbours and their distance in Å.
Fractional positions:
Pr  0.2500  0.6409  0.0000  9 Y 3.29-3.64
Pr  0.2500  0.3591  0.3591  9 Y 3.29-3.64
Y  0.7500  0.6920  0.0000  5 Pr 3.29-3.61, 2 Tb 3.53
Pr  0.7500  0.3591  0.0000  9 Y 3.29-3.64
Tb  0.0000  0.0000  0.0000  6 Y 3.53, 2 Tb 3.57
Y  0.2500  0.3080  0.0000  5 Pr 3.29-3.61, 2 Tb 3.53
Y  0.0000  0.6667  0.3333  8 Y 3.57-3.86, 6 Pr 3.64
Y  0.2500  0.0000  0.3080  5 Pr 3.29-3.61, 2 Tb 3.53
Y  0.7500  0.0000  0.6920  5 Pr 3.29-3.61, 2 Tb 3.53
Y  0.7500  0.3080  0.3080  5 Pr 3.29-3.61, 2 Tb 3.53
Pr  0.7500  0.6409  0.6409  9 Y 3.29-3.64
Y  0.5000  0.3333  0.6667  8 Y 3.57-3.86, 6 Pr 3.64
Tb  0.5000  0.0000  0.0000  6 Y 3.53, 2 Tb 3.57
Y  0.0000  0.3333  0.6667  8 Y 3.57-3.86, 6 Pr 3.64
Pr  0.2500  0.0000  0.6409  9 Y 3.29-3.64
Y  0.5000  0.6667  0.3333  8 Y 3.57-3.86, 6 Pr 3.64
Y  0.2500  0.6920  0.6920  5 Pr 3.29-3.61, 2 Tb 3.53
Pr  0.7500  0.0000  0.3591  9 Y 3.29-3.64

Results
For the magnetic moment, the calculation gives 0.00 Bohr magnetons per cell. The energy of formation comes out at 0.050 eV/atom. Its total energy is -50.8 eV/f.u. As for the crystal system: hexagonal. Its symmetry is P6_3/mcm, No. 193.